# 1
This record from the Alexandria database describes a relaxed Sm4Tm3In crystal. The functional is GGA-PBE.

Cell lengths 11.219, 7.082, 6.183 Å; angles 90.00, 90.00, 90.00 degrees
Fractional coordinates of all 16 atoms:
Sm (0.000, 0.130, 0.000)
Sm (0.000, 0.866, 0.451)
Sm (0.232, 0.868, 0.819)
Sm (0.268, 0.132, 0.319)
Sm (0.500, 0.134, 0.951)
Sm (0.500, 0.870, 0.500)
Sm (0.732, 0.132, 0.319)
Sm (0.768, 0.868, 0.819)
Tm (0.000, 0.372, 0.478)
Tm (0.246, 0.384, 0.799)
Tm (0.254, 0.616, 0.299)
Tm (0.500, 0.628, 0.978)
Tm (0.746, 0.616, 0.299)
Tm (0.754, 0.384, 0.799)
In (0.000, 0.607, 0.979)
In (0.500, 0.393, 0.479)

Summary:
Final energy = -4.4703 eV per atom
Spin magnetization = 0.00 μB per atom
SG = Pmn2_1
Formation energy from the elements = -92 meV/atom

---

# 2
This record from the Alexandria database describes a relaxed SmTm6In2 crystal. The functional is GGA-PBE.

Cell lengths 6.534, 6.534, 11.854 Å; angles 107.13, 107.13, 32.96 degrees
Fractional coordinates of all 9 atoms:
Sm (0.000, 0.000, 0.000)
Tm (0.013, 0.013, 0.346)
Tm (0.311, 0.311, 0.418)
Tm (0.315, 0.315, 0.125)
Tm (0.685, 0.685, 0.875)
Tm (0.689, 0.689, 0.582)
Tm (0.987, 0.987, 0.654)
In (0.355, 0.355, 0.785)
In (0.645, 0.645, 0.215)

Summary:
Final energy = -4.3107 eV per atom
Spin magnetization = 0.00 μB per atom
SG = C2/m
Formation energy from the elements = -197 meV/atom

---

# 3
This record from the Alexandria database describes a relaxed Sm12Tm2In crystal. The functional is GGA-PBE.

Cell lengths 6.761, 6.761, 24.365 Å; angles 90.00, 90.00, 115.46 degrees
Fractional coordinates of all 30 atoms:
Sm (0.001, 0.501, 0.122)
Sm (0.001, 0.999, 0.928)
Sm (0.019, 0.519, 0.589)
Sm (0.024, 0.976, 0.439)
Sm (0.250, 0.250, 0.195)
Sm (0.250, 0.250, 0.322)
Sm (0.250, 0.250, 0.678)
Sm (0.250, 0.250, 0.805)
Sm (0.476, 0.524, 0.439)
Sm (0.481, 0.981, 0.589)
Sm (0.499, 0.501, 0.928)
Sm (0.499, 0.999, 0.122)
Sm (0.501, 0.001, 0.878)
Sm (0.501, 0.499, 0.072)
Sm (0.519, 0.019, 0.411)
Sm (0.524, 0.476, 0.561)
Sm (0.750, 0.750, 0.195)
Sm (0.750, 0.750, 0.322)
Sm (0.750, 0.750, 0.678)
Sm (0.750, 0.750, 0.805)
Sm (0.976, 0.024, 0.561)
Sm (0.981, 0.481, 0.411)
Sm (0.999, 0.001, 0.072)
Sm (0.999, 0.499, 0.878)
Tm (0.250, 0.750, 0.264)
Tm (0.250, 0.750, 0.740)
Tm (0.750, 0.250, 0.260)
Tm (0.750, 0.250, 0.736)
In (0.250, 0.750, 0.000)
In (0.750, 0.250, 0.000)

Summary:
Final energy = -4.4561 eV per atom
Spin magnetization = 0.00 μB per atom
SG = Cmme
Formation energy from the elements = 98 meV/atom

---

# 4
This record from the Alexandria database describes a relaxed Sm5Tm12In2 crystal. The functional is GGA-PBE.

Cell lengths 8.930, 8.930, 8.269 Å; angles 91.58, 91.58, 62.38 degrees
Fractional coordinates of all 19 atoms:
Sm (0.000, 0.000, 0.000)
Sm (0.234, 0.234, 0.076)
Sm (0.305, 0.305, 0.489)
Sm (0.695, 0.695, 0.511)
Sm (0.766, 0.766, 0.924)
Tm (0.038, 0.671, 0.264)
Tm (0.080, 0.080, 0.381)
Tm (0.180, 0.567, 0.833)
Tm (0.329, 0.962, 0.736)
Tm (0.433, 0.820, 0.167)
Tm (0.446, 0.446, 0.174)
Tm (0.554, 0.554, 0.826)
Tm (0.567, 0.180, 0.833)
Tm (0.671, 0.038, 0.264)
Tm (0.820, 0.433, 0.167)
Tm (0.920, 0.920, 0.619)
Tm (0.962, 0.329, 0.736)
In (0.321, 0.679, 0.500)
In (0.679, 0.321, 0.500)

Summary:
Final energy = -4.3641 eV per atom
Spin magnetization = 0.00 μB per atom
SG = C2/m
Formation energy from the elements = -10 meV/atom

---

# 5
This record from the Alexandria database describes a relaxed Sm4Tm3In crystal. The functional is GGA-PBE.

Cell lengths 10.019, 6.971, 7.028 Å; angles 90.00, 90.00, 90.00 degrees
Fractional coordinates of all 16 atoms:
Sm (0.000, 0.000, 0.000)
Sm (0.000, 0.499, 0.501)
Sm (0.250, 0.253, 0.750)
Sm (0.250, 0.747, 0.250)
Sm (0.500, 0.000, 0.500)
Sm (0.500, 0.501, 0.001)
Sm (0.750, 0.253, 0.750)
Sm (0.750, 0.747, 0.250)
Tm (0.000, 0.500, 0.000)
Tm (0.250, 0.244, 0.250)
Tm (0.250, 0.756, 0.750)
Tm (0.500, 0.500, 0.500)
Tm (0.750, 0.244, 0.250)
Tm (0.750, 0.756, 0.750)
In (0.000, 0.000, 0.500)
In (0.500, 0.000, 0.000)

Summary:
Final energy = -4.4557 eV per atom
Spin magnetization = 0.00 μB per atom
SG = Pmn2_1
Formation energy from the elements = -77 meV/atom

---

# 6
This record from the Alexandria database describes a relaxed SmTm4In crystal. The functional is GGA-PBE.

Cell lengths 8.638, 8.638, 8.638 Å; angles 98.80, 98.80, 133.96 degrees
Fractional coordinates of all 12 atoms:
Sm (0.000, 0.000, 0.000)
Sm (0.750, 0.250, 0.500)
Tm (0.404, 0.162, 0.242)
Tm (0.412, 0.154, 0.743)
Tm (0.412, 0.669, 0.257)
Tm (0.419, 0.662, 0.757)
Tm (0.904, 0.662, 0.243)
Tm (0.912, 0.170, 0.258)
Tm (0.912, 0.654, 0.742)
Tm (0.920, 0.162, 0.758)
In (0.242, 0.742, 0.500)
In (0.492, 0.492, 0.000)

Summary:
Final energy = -3.7152 eV per atom
Spin magnetization = 0.00 μB per atom
SG = I4_1md
Formation energy from the elements = 509 meV/atom

---

# 7
This record from the Alexandria database describes a relaxed Sm4TmIn3 crystal. The functional is GGA-PBE.

Cell lengths 9.605, 9.605, 9.605 Å; angles 32.92, 32.92, 32.92 degrees
Fractional coordinates of all 8 atoms:
Sm (0.118, 0.118, 0.118)
Sm (0.370, 0.370, 0.370)
Sm (0.630, 0.630, 0.630)
Sm (0.882, 0.882, 0.882)
Tm (0.500, 0.500, 0.500)
In (0.000, 0.000, 0.000)
In (0.241, 0.241, 0.241)
In (0.759, 0.759, 0.759)

Summary:
Final energy = -4.2729 eV per atom
Spin magnetization = 0.04 μB per atom
SG = R-3m
Formation energy from the elements = -327 meV/atom

---

# 8
This record from the Alexandria database describes a relaxed SmTm2In9 crystal. The functional is GGA-PBE.

Cell lengths 4.642, 4.642, 13.886 Å; angles 90.00, 90.00, 90.00 degrees
Fractional coordinates of all 12 atoms:
Sm (0.000, 0.000, 0.000)
Tm (0.000, 0.000, 0.335)
Tm (0.000, 0.000, 0.665)
In (0.000, 0.500, 0.170)
In (0.000, 0.500, 0.500)
In (0.000, 0.500, 0.830)
In (0.500, 0.000, 0.170)
In (0.500, 0.000, 0.500)
In (0.500, 0.000, 0.830)
In (0.500, 0.500, 0.000)
In (0.500, 0.500, 0.334)
In (0.500, 0.500, 0.666)

Summary:
Final energy = -3.5885 eV per atom
Spin magnetization = 0.00 μB per atom
SG = P4/mmm
Formation energy from the elements = -396 meV/atom

---

# 9
This record from the Alexandria database describes a relaxed Sm5TmIn2 crystal. The functional is GGA-PBE.

Cell lengths 8.495, 8.495, 8.495 Å; angles 155.52, 100.04, 85.16 degrees
Fractional coordinates of all 8 atoms:
Sm (0.000, 0.000, 0.000)
Sm (0.085, 0.363, 0.722)
Sm (0.359, 0.637, 0.722)
Sm (0.641, 0.363, 0.278)
Sm (0.915, 0.637, 0.278)
Tm (0.500, 0.000, 0.500)
In (0.273, 0.273, 0.000)
In (0.727, 0.727, 0.000)

Summary:
Final energy = -4.3405 eV per atom
Spin magnetization = 0.00 μB per atom
SG = Immm
Formation energy from the elements = -147 meV/atom

---

# 10
This record from the Alexandria database describes a relaxed SmTm4In5 crystal. The functional is GGA-PBE.

Cell lengths 3.711, 3.711, 19.016 Å; angles 90.00, 90.00, 90.00 degrees
Fractional coordinates of all 10 atoms:
Sm (0.000, 0.000, 0.000)
Tm (0.000, 0.000, 0.205)
Tm (0.000, 0.000, 0.402)
Tm (0.000, 0.000, 0.598)
Tm (0.000, 0.000, 0.795)
In (0.500, 0.500, 0.107)
In (0.500, 0.500, 0.304)
In (0.500, 0.500, 0.500)
In (0.500, 0.500, 0.696)
In (0.500, 0.500, 0.893)

Summary:
Final energy = -4.0673 eV per atom
Spin magnetization = 0.00 μB per atom
SG = P4/mmm
Formation energy from the elements = -438 meV/atom

---

# 11
This record from the Alexandria database describes a relaxed Sm2Tm8In crystal. The functional is GGA-PBE.

Cell lengths 9.981, 9.981, 6.373 Å; angles 94.85, 94.85, 31.83 degrees
Fractional coordinates of all 11 atoms:
Sm (0.244, 0.244, 0.333)
Sm (0.756, 0.756, 0.667)
Tm (0.045, 0.045, 0.268)
Tm (0.151, 0.151, 0.810)
Tm (0.339, 0.339, 0.877)
Tm (0.422, 0.422, 0.404)
Tm (0.578, 0.578, 0.596)
Tm (0.661, 0.661, 0.123)
Tm (0.849, 0.849, 0.190)
Tm (0.955, 0.955, 0.732)
In (0.500, 0.500, 0.000)

Summary:
Final energy = -4.4081 eV per atom
Spin magnetization = 0.00 μB per atom
SG = C2/m
Formation energy from the elements = -49 meV/atom

---

# 12
This record from the Alexandria database describes a relaxed Sm2Tm5In crystal. The functional is GGA-PBE.

Cell lengths 6.593, 6.594, 7.024 Å; angles 105.21, 105.76, 115.48 degrees
Fractional coordinates of all 8 atoms:
Sm (0.000, 0.000, 0.000)
Sm (0.423, 0.889, 0.315)
Tm (0.003, 0.005, 0.488)
Tm (0.411, 0.909, 0.823)
Tm (0.480, 0.482, 0.487)
Tm (0.891, 0.423, 0.317)
Tm (0.911, 0.411, 0.823)
In (0.485, 0.482, 0.969)

Summary:
Final energy = -4.4224 eV per atom
Spin magnetization = 0.00 μB per atom
SG = P1
Formation energy from the elements = -106 meV/atom

---

# 13
This record from the Alexandria database describes a relaxed Sm6TmIn6 crystal. The functional is GGA-PBE.

Cell lengths 6.353, 6.353, 10.932 Å; angles 90.00, 90.00, 120.00 degrees
Fractional coordinates of all 13 atoms:
Sm (0.000, 0.000, 0.168)
Sm (0.000, 0.000, 0.832)
Sm (0.333, 0.667, 0.000)
Sm (0.333, 0.667, 0.500)
Sm (0.667, 0.333, 0.000)
Sm (0.667, 0.333, 0.500)
Tm (0.000, 0.000, 0.500)
In (0.000, 0.500, 0.253)
In (0.000, 0.500, 0.747)
In (0.500, 0.000, 0.253)
In (0.500, 0.000, 0.747)
In (0.500, 0.500, 0.253)
In (0.500, 0.500, 0.747)

Summary:
Final energy = -4.1002 eV per atom
Spin magnetization = 0.11 μB per atom
SG = P6/mmm
Formation energy from the elements = -314 meV/atom

---

# 14
This record from the Alexandria database describes a relaxed Sm2Tm3In crystal. The functional is GGA-PBE.

Cell lengths 7.896, 7.896, 4.886 Å; angles 90.00, 90.00, 144.28 degrees
Fractional coordinates of all 6 atoms:
Sm (0.162, 0.838, 0.000)
Sm (0.838, 0.162, 0.000)
Tm (0.000, 0.000, 0.500)
Tm (0.334, 0.666, 0.500)
Tm (0.666, 0.334, 0.500)
In (0.500, 0.500, 0.000)

Summary:
Final energy = -4.4153 eV per atom
Spin magnetization = 0.00 μB per atom
SG = Cmmm
Formation energy from the elements = -150 meV/atom

---

# 15
This record from the Alexandria database describes a relaxed Sm8Tm2In crystal. The functional is GGA-PBE.

Cell lengths 8.353, 5.375, 8.354 Å; angles 90.00, 103.56, 90.00 degrees
Fractional coordinates of all 11 atoms:
Sm (0.028, 0.000, 0.300)
Sm (0.250, 0.500, 0.749)
Sm (0.299, 0.000, 0.028)
Sm (0.334, 0.500, 0.334)
Sm (0.666, 0.500, 0.666)
Sm (0.701, 0.000, 0.972)
Sm (0.750, 0.500, 0.251)
Sm (0.972, 0.000, 0.700)
Tm (0.379, 0.000, 0.621)
Tm (0.621, 0.000, 0.379)
In (0.000, 0.500, 0.000)

Summary:
Final energy = -4.4332 eV per atom
Spin magnetization = 0.00 μB per atom
SG = P2/m
Formation energy from the elements = 61 meV/atom

---

# 16
This record from the Alexandria database describes a relaxed Sm2Tm2In3 crystal. The functional is GGA-PBE.

Cell lengths 12.626, 12.626, 3.451 Å; angles 90.00, 90.00, 159.17 degrees
Fractional coordinates of all 7 atoms:
Sm (0.071, 0.929, 0.000)
Sm (0.929, 0.071, 0.000)
Tm (0.203, 0.797, 0.000)
Tm (0.797, 0.203, 0.000)
In (0.353, 0.647, 0.500)
In (0.500, 0.500, 0.500)
In (0.647, 0.353, 0.500)

Summary:
Final energy = -4.0955 eV per atom
Spin magnetization = 0.00 μB per atom
SG = Cmmm
Formation energy from the elements = -296 meV/atom

---

# 17
This record from the Alexandria database describes a relaxed Sm12TmIn3 crystal. The functional is GGA-PBE.

Cell lengths 4.945, 4.945, 20.107 Å; angles 90.00, 90.00, 90.00 degrees
Fractional coordinates of all 16 atoms:
Sm (0.000, 0.000, 0.000)
Sm (0.000, 0.000, 0.247)
Sm (0.000, 0.000, 0.500)
Sm (0.000, 0.000, 0.753)
Sm (0.000, 0.500, 0.124)
Sm (0.000, 0.500, 0.370)
Sm (0.000, 0.500, 0.630)
Sm (0.000, 0.500, 0.876)
Sm (0.500, 0.000, 0.124)
Sm (0.500, 0.000, 0.370)
Sm (0.500, 0.000, 0.630)
Sm (0.500, 0.000, 0.876)
Tm (0.500, 0.500, 0.500)
In (0.500, 0.500, 0.000)
In (0.500, 0.500, 0.244)
In (0.500, 0.500, 0.756)

Summary:
Final energy = -4.5274 eV per atom
Spin magnetization = 0.00 μB per atom
SG = P4/mmm
Formation energy from the elements = -195 meV/atom

---

# 18
This record from the Alexandria database describes a relaxed Sm4Tm2In crystal. The functional is GGA-PBE.

Cell lengths 12.145, 6.640, 13.110 Å; angles 66.84, 30.18, 82.98 degrees
Fractional coordinates of all 14 atoms:
Sm (0.023, 0.477, 0.052)
Sm (0.198, 0.802, 0.227)
Sm (0.426, 0.556, 0.283)
Sm (0.477, 0.023, 0.448)
Sm (0.515, 0.967, 0.694)
Sm (0.556, 0.426, 0.735)
Sm (0.802, 0.198, 0.773)
Sm (0.967, 0.515, 0.824)
Tm (0.065, 0.295, 0.302)
Tm (0.295, 0.065, 0.338)
Tm (0.912, 0.948, 0.955)
Tm (0.948, 0.912, 0.185)
In (0.444, 0.444, 0.556)
In (0.694, 0.694, 0.806)

Summary:
Final energy = -4.4576 eV per atom
Spin magnetization = 0.00 μB per atom
SG = Fdd2
Formation energy from the elements = -92 meV/atom

---

# 19
This record from the Alexandria database describes a relaxed SmTm6In3 crystal. The functional is GGA-PBE.

Cell lengths 9.144, 9.144, 7.661 Å; angles 90.00, 90.00, 110.91 degrees
Fractional coordinates of all 20 atoms:
Sm (0.217, 0.783, 0.500)
Sm (0.783, 0.217, 0.000)
Tm (0.049, 0.951, 0.217)
Tm (0.075, 0.448, 0.715)
Tm (0.236, 0.303, 0.026)
Tm (0.298, 0.702, 0.043)
Tm (0.303, 0.236, 0.526)
Tm (0.448, 0.075, 0.215)
Tm (0.552, 0.925, 0.715)
Tm (0.697, 0.764, 0.026)
Tm (0.702, 0.298, 0.543)
Tm (0.764, 0.697, 0.526)
Tm (0.925, 0.552, 0.215)
Tm (0.951, 0.049, 0.717)
In (0.017, 0.281, 0.351)
In (0.281, 0.017, 0.851)
In (0.445, 0.555, 0.740)
In (0.555, 0.445, 0.240)
In (0.719, 0.983, 0.351)
In (0.983, 0.719, 0.851)

Summary:
Final energy = -4.1001 eV per atom
Spin magnetization = 0.00 μB per atom
SG = Cmc2_1
Formation energy from the elements = -124 meV/atom

---

# 20
This record from the Alexandria database describes a relaxed Sm6Tm2In3 crystal. The functional is GGA-PBE.

Cell lengths 12.774, 12.774, 12.774 Å; angles 155.51, 155.51, 34.91 degrees
Fractional coordinates of all 11 atoms:
Sm (0.099, 0.599, 0.500)
Sm (0.197, 0.197, 0.000)
Sm (0.401, 0.901, 0.500)
Sm (0.599, 0.099, 0.500)
Sm (0.803, 0.803, 0.000)
Sm (0.901, 0.401, 0.500)
Tm (0.058, 0.058, 0.000)
Tm (0.942, 0.942, 0.000)
In (0.326, 0.326, 0.000)
In (0.500, 0.500, 0.000)
In (0.674, 0.674, 0.000)

Summary:
Final energy = -3.9126 eV per atom
Spin magnetization = 0.00 μB per atom
SG = I4/mmm
Formation energy from the elements = 221 meV/atom